1.
First-principles (PBE) data for a relaxed structure of Al2InMo, as listed in Alexandria.

Structure (POSCAR):
```
Al2InMo
1.0
3.0034 0.0000 0.0000
-1.5017 2.6011 0.0000
0.0000 0.0000 27.6035
Al In Mo
6 3 3
Cartesian
0.0000 0.0000 0.0000
0.0000 0.0000 6.9444
0.0000 1.7340 18.4024
0.0000 1.7340 25.3467
1.5017 0.8670 9.2012
1.5017 0.8670 16.1456
0.0000 0.0000 20.8972
0.0000 1.7340 11.6960
1.5017 0.8670 2.4948
0.0000 0.0000 14.0669
0.0000 1.7340 4.8657
1.5017 0.8670 23.2680
```

## Properties
The space group is R3m (160). For the formation energy, the calculation gives 0.8 eV per formula unit.

2.
First-principles (PBE) data for a relaxed structure of YTeSe2, as listed in Alexandria.

Structure (POSCAR):
```
YTeSe2
1.0
4.1157 0.0000 0.0000
-2.0578 3.5643 0.0000
0.0000 0.0000 26.1256
Y Te Se
3 3 6
Cartesian
0.0000 0.0000 0.0000
0.0000 2.3762 17.4171
2.0578 1.1881 8.7085
0.0000 0.0000 13.0628
0.0000 2.3762 4.3543
2.0578 1.1881 21.7713
0.0000 0.0000 10.2932
0.0000 0.0000 15.8324
0.0000 2.3762 1.5847
0.0000 2.3762 7.1238
2.0578 1.1881 19.0017
2.0578 1.1881 24.5409
```

## Properties
The space group is R-3m (166). The value obtained for the formation energy without anion corrections is -96.84 kJ per mole of atoms.

3.
First-principles (PBE) data for a relaxed structure of TbPmPa, as listed in Alexandria.

Structure (POSCAR):
```
TbPmPa
1.0
3.4072 0.0000 0.0000
0.0000 3.4072 0.0000
0.0000 0.0000 15.5199
Tb Pm Pa
2 2 2
Cartesian
0.0000 0.0000 0.0000
1.7036 1.7036 7.7600
0.0000 0.0000 10.7191
1.7036 1.7036 2.9592
0.0000 0.0000 5.3864
1.7036 1.7036 13.1463
```

## Properties
The space group is I4mm (107). For the relative energy among the computed polymorphs, the calculation gives 0.018 eV/atom. For the formation energy, the calculation gives 0.5 eV per formula unit.

4.
First-principles (PBE) data for a relaxed structure of Pu2AlSn, as listed in Alexandria.

Structure (POSCAR):
```
Pu2AlSn
1.0
4.4962 0.0000 0.0000
0.0000 4.4962 0.0000
0.0000 0.0000 4.6820
Pu Al Sn
2 1 1
Cartesian
0.0000 2.2481 0.0000
2.2481 0.0000 0.0000
0.0000 0.0000 2.3410
2.2481 2.2481 2.3410
```

## Properties
The space group is P4/mmm (123). For the formation energy, the calculation gives -1.1 eV per formula unit.

Number 1: uncorrected energy -60.78 eV/cell. Number 2: uncorrected energy -61.77 eV/cell. Number 3: uncorrected energy -36.74 eV/cell. Number 4: uncorrected energy -37.53 eV/cell.